(1)
HfO3F4 | PBE | optimized geometry

The volume is 538.6 Å³ per cell. Its crystal system is monoclinic. The distance to the lowest polymorph of the same formula comes out at 0 meV per atom. The energy relative to the elements, uncorrected is -2.145 eV/atom. As for the total magnetization: 0.1 Bohr magnetons per cell. As for the space-group type: P2_1/c.

Cell lengths 6.6485, 10.4249, 8.8660 Å; angles 90.00, 118.78, 90.00 degrees
With the nearest neighbours (Å) after each atom.
Element x y z (fractional)
Hf 0.2421 0.0484 0.4876  6 F 1.93-2.15
Hf 0.2421 0.4516 0.9876  6 F 1.93-2.15
Hf 0.7579 0.5484 0.0124  6 F 1.93-2.15
Hf 0.7579 0.9516 0.5124  6 F 1.93-2.15
O 0.1679 0.2257 0.9229  1 O 1.32
O 0.1679 0.2743 0.4229  1 O 1.32
O 0.3082 0.1297 0.0026  2 O 1.26-1.32
O 0.3082 0.3703 0.5026  2 O 1.26-1.32
O 0.4873 0.6547 0.3901  1 O 1.26
O 0.4873 0.8453 0.8901  1 O 1.26
O 0.5127 0.1547 0.1099  1 O 1.26
O 0.5127 0.3453 0.6099  1 O 1.26
O 0.6918 0.6297 0.4974  2 O 1.26-1.32
O 0.6918 0.8703 0.9974  2 O 1.26-1.32
O 0.8321 0.7257 0.5771  1 O 1.32
O 0.8321 0.7743 0.0771  1 O 1.32
F 0.0737 0.6065 0.0223  2 Hf 2.07-2.15
F 0.0737 0.8935 0.5223  2 Hf 2.07-2.15
F 0.0787 0.0553 0.2392  1 Hf 1.93
F 0.0787 0.4447 0.7392  1 Hf 1.93
F 0.3888 0.1187 0.7185  1 Hf 1.94
F 0.3888 0.3813 0.2185  1 Hf 1.94
F 0.4646 0.6051 0.0340  2 Hf 2.08-2.13
F 0.4646 0.8949 0.5340  2 Hf 2.08-2.13
F 0.5354 0.1051 0.4660  2 Hf 2.08-2.13
F 0.5354 0.3949 0.9660  2 Hf 2.08-2.13
F 0.6112 0.6187 0.7815  1 Hf 1.94
F 0.6112 0.8813 0.2815  1 Hf 1.94
F 0.9213 0.5553 0.2608  1 Hf 1.93
F 0.9213 0.9447 0.7608  1 Hf 1.93
F 0.9263 0.1065 0.4777  2 Hf 2.07-2.15
F 0.9263 0.3935 0.9777  2 Hf 2.07-2.15

(2)
Hf3OF | PBE | optimized geometry

The volume is 85.0 Å³ per cell. Its crystal system is cubic. The distance to the lowest polymorph of the same formula comes out at 0 meV per atom. The energy relative to the elements, uncorrected is -0.738 eV/atom. As for the total magnetization: 0.0 Bohr magnetons per cell. As for the space-group type: Pm-3m.

Cell lengths 4.3965, 4.3965, 4.3965 Å; angles 90.00, 90.00, 90.00 degrees
With the nearest neighbours (Å) after each atom.
Element x y z (fractional)
Hf 0.0000 0.0000 0.5000  2 O 2.20
Hf 0.0000 0.5000 0.0000  2 O 2.20
Hf 0.5000 0.0000 0.0000  2 O 2.20
O 0.0000 0.0000 0.0000  6 Hf 2.20
F 0.5000 0.5000 0.5000  12 Hf 3.11

(3)
HfO3F | PBE | optimized geometry

The volume is 67.2 Å³ per cell. Its crystal system is cubic. The energy relative to the elements, uncorrected is -1.504 eV/atom. As for the total magnetization: 3.0 Bohr magnetons per cell. As for the space-group type: Pm-3m.

Cell lengths 4.0661, 4.0661, 4.0661 Å; angles 90.00, 90.00, 90.00 degrees
With the nearest neighbours (Å) after each atom.
Element x y z (fractional)
Hf 0.0000 0.0000 0.0000  6 O 2.03
O 0.0000 0.0000 0.5000  2 Hf 2.03
O 0.0000 0.5000 0.0000  2 Hf 2.03
O 0.5000 0.0000 0.0000  2 Hf 2.03
F 0.5000 0.5000 0.5000  12 O 2.88

(4)
HfO3F4 | PBE | optimized geometry

The volume is 567.2 Å³ per cell. Its crystal system is monoclinic. The distance to the lowest polymorph of the same formula comes out at 183 meV per atom. The energy relative to the elements, uncorrected is -1.962 eV/atom. As for the total magnetization: 14.7 Bohr magnetons per cell. As for the space-group type: P2_1/c.

Cell lengths 6.5356, 12.0159, 7.3138 Å; angles 90.00, 99.07, 90.00 degrees
With the nearest neighbours (Å) after each atom.
Element x y z (fractional)
Hf 0.2430 0.0494 0.4799  5 F 1.92-2.13
Hf 0.2430 0.4506 0.9799  5 F 1.92-2.13
Hf 0.7570 0.5494 0.0201  5 F 1.92-2.13
Hf 0.7570 0.9506 0.5201  5 F 1.92-2.13
O 0.1906 0.0687 0.7792  1 Hf 2.28, 1 F 2.41
O 0.1906 0.4313 0.2792  1 Hf 2.28, 1 F 2.41
O 0.2426 0.6758 0.4365  1 O 1.22
O 0.2426 0.8242 0.9365  1 O 1.22
O 0.3281 0.6779 0.5966  1 O 1.22
O 0.3281 0.8221 0.0966  1 O 1.22
O 0.6719 0.1779 0.9034  1 O 1.22
O 0.6719 0.3221 0.4034  1 O 1.22
O 0.7574 0.1758 0.0635  1 O 1.22
O 0.7574 0.3242 0.5635  1 O 1.22
O 0.8094 0.5687 0.7208  1 Hf 2.28, 1 F 2.41
O 0.8094 0.9313 0.2208  1 Hf 2.28, 1 F 2.41
F 0.0712 0.5968 0.0188  2 Hf 2.13
F 0.0712 0.9032 0.5188  2 Hf 2.13
F 0.1321 0.0279 0.2200  1 Hf 1.94
F 0.1321 0.4721 0.7200  1 Hf 1.94
F 0.3132 0.2019 0.5373  1 Hf 1.92
F 0.3132 0.2981 0.0373  1 Hf 1.92
F 0.4732 0.5467 0.1364  2 Hf 2.09-2.16
F 0.4732 0.9533 0.6364  2 Hf 2.09-2.16
F 0.5268 0.0467 0.3636  2 Hf 2.09-2.16
F 0.5268 0.4533 0.8636  2 Hf 2.09-2.16
F 0.6868 0.7019 0.9627  1 Hf 1.92
F 0.6868 0.7981 0.4627  1 Hf 1.92
F 0.8679 0.5279 0.2800  1 Hf 1.94
F 0.8679 0.9721 0.7800  1 Hf 1.94
F 0.9288 0.0968 0.4812  2 Hf 2.13
F 0.9288 0.4032 0.9812  2 Hf 2.13